DFT (PBE with a Hubbard U) results for Cr2NiO4 after structural relaxation.

a b c (Å): 10.321 5.963 6.042
angles (deg): 90.00 124.88 90.00
Space group C2/m (No. 12)
Symmetry-distinct sites (fractional):
Cr1 0.000 0.000 0.000 (multiplicity 2)
Cr2 0.000 0.000 0.500 (multiplicity 2)
Cr3 0.250 0.250 0.000 (multiplicity 4)
Ni1 0.127 0.500 0.380 (multiplicity 4)
O1 0.010 0.229 0.761 (multiplicity 8)
O2 0.237 0.000 0.211 (multiplicity 4)
O3 0.240 0.000 0.762 (multiplicity 4)

Computed properties:
crystal system = monoclinic

***

DFT (PBE with a Hubbard U) results for Cr3NiO after structural relaxation.

a b c (Å): 4.213 4.213 4.213
angles (deg): 90.00 90.00 90.00
Space group Pm-3m (No. 221)
Symmetry-distinct sites (fractional):
Cr1 0.000 0.000 0.500 (multiplicity 3)
Ni1 0.500 0.500 0.500 (multiplicity 1)
O1 0.000 0.000 0.000 (multiplicity 1)

Computed properties:
relative energy among the computed polymorphs = 0 meV per atom
crystal system = cubic

***

DFT (PBE with a Hubbard U) results for CrNi2O4 after structural relaxation.

a b c (Å): 6.012 6.012 8.206
angles (deg): 90.00 90.00 90.00
Space group P4_122 (No. 91)
Symmetry-distinct sites (fractional):
Cr1 0.000 0.255 0.000 (multiplicity 4)
Ni1 0.250 0.500 0.750 (multiplicity 4)
Ni2 0.253 0.253 0.375 (multiplicity 4)
O1 0.015 0.234 0.766 (multiplicity 8)
O2 0.232 0.469 0.999 (multiplicity 8)

Computed properties:
crystal system = tetragonal

***

DFT (PBE with a Hubbard U) results for Cr3NiO after structural relaxation.

a b c (Å): 4.618 4.618 4.618
angles (deg): 90.00 90.00 90.00
Space group Pm-3m (No. 221)
Symmetry-distinct sites (fractional):
Cr1 0.000 0.000 0.500 (multiplicity 3)
Ni1 0.000 0.000 0.000 (multiplicity 1)
O1 0.500 0.500 0.500 (multiplicity 1)

Computed properties:
relative energy among the computed polymorphs = 1244 meV per atom
crystal system = cubic

***

DFT (PBE with a Hubbard U) results for Cr2NiO after structural relaxation.

a b c (Å): 5.415 5.415 10.412
angles (deg): 90.00 90.00 90.00
Space group I-42d (No. 122)
Symmetry-distinct sites (fractional):
Cr1 0.111 0.250 0.125 (multiplicity 8)
Ni1 0.000 0.000 0.500 (multiplicity 4)
O1 0.000 0.000 0.000 (multiplicity 4)

Computed properties:
relative energy among the computed polymorphs = 0 meV per atom
crystal system = tetragonal

***

DFT (PBE with a Hubbard U) results for CrNiO3 after structural relaxation.

a b c (Å): 10.504 3.356 6.132
angles (deg): 90.00 98.34 90.00
Space group C2/m (No. 12)
Symmetry-distinct sites (fractional):
Cr1 0.123 0.000 0.393 (multiplicity 4)
Ni1 0.136 0.500 0.897 (multiplicity 4)
O1 0.050 0.000 0.706 (multiplicity 4)
O2 0.169 0.500 0.497 (multiplicity 4)
O3 0.172 0.000 0.109 (multiplicity 4)

Computed properties:
crystal system = monoclinic

***

DFT (PBE with a Hubbard U) results for Cr2NiO after structural relaxation.

a b c (Å): 5.780 5.780 5.780
angles (deg): 90.00 90.00 90.00
Space group Fm-3m (No. 225)
Symmetry-distinct sites (fractional):
Cr1 0.250 0.250 0.250 (multiplicity 8)
Ni1 0.000 0.000 0.000 (multiplicity 4)
O1 0.000 0.000 0.500 (multiplicity 4)

Computed properties:
relative energy among the computed polymorphs = 1453 meV per atom
crystal system = cubic

***

DFT (PBE with a Hubbard U) results for Cr3NiP6O24 after structural relaxation.

a b c (Å): 8.4357 8.4357 21.8430
angles (deg): 90.00 90.00 120.00
Space group R3 (No. 146, hexagonal axes)
Symmetry-distinct sites (fractional):
Cr1 0.0000 0.0000 0.0000 (multiplicity 3)
Cr2 0.0000 0.0000 0.2166 (multiplicity 3)
Cr3 0.0000 0.0000 0.4967 (multiplicity 3)
Ni1 0.0000 0.0000 0.7127 (multiplicity 3)
P1 0.9995 0.2837 0.6069 (multiplicity 9)
P2 0.0040 0.7201 0.1064 (multiplicity 9)
O1 0.0064 0.8157 0.1670 (multiplicity 9)
O2 0.0079 0.1933 0.5468 (multiplicity 9)
O3 0.0077 0.8222 0.4443 (multiplicity 9)
O4 0.0672 0.8573 0.0527 (multiplicity 9)
O5 0.0803 0.8558 0.7656 (multiplicity 9)
O6 0.1581 0.4726 0.9342 (multiplicity 9)
O7 0.1832 0.4452 0.3277 (multiplicity 9)
O8 0.1924 0.4491 0.6180 (multiplicity 9)

Computed properties:
crystal system = trigonal

***

In eV per atom, the electronic total energy values for the records above are, in order, -7.055, -5.864, -5.897, -4.620, -5.564, -6.197, -4.111, -6.909.